Entry 1:
{"formula": "K3HoSc2Te6", "functional": "PBE", "state": "relaxed", "lattice_angstrom": [[7.564, -0.001, -0.001], [-3.781, 6.551, -0.001], [-1.262, -2.186, 8.208]], "species": ["K", "K", "K", "Ho", "Sc", "Sc", "Te", "Te", "Te", "Te", "Te", "Te"], "fractional_positions": [[0.164, 0.836, 0.500], [0.836, 0.164, 0.500], [0.500, 0.500, 0.500], [0.000, 0.000, 0.000], [0.333, 0.667, 0.000], [0.667, 0.333, 0.000], [0.933, 0.589, 0.799], [0.723, 0.723, 0.201], [0.067, 0.411, 0.201], [0.589, 0.933, 0.799], [0.277, 0.277, 0.799], [0.411, 0.067, 0.201]], "total_energy_ev_per_cell": -54.94, "magmom_total_mub_per_atom": 0.00, "spacegroup": "C2/m", "formation_energy_uncorrected_ev_per_atom": -1.296}

=====

Entry 2:
{"formula": "La6GePb", "functional": "PBE", "state": "relaxed", "lattice_angstrom": [[-2.227, -3.048, -3.268], [3.920, 0.421, -3.064], [4.281, -7.843, 4.398]], "species": ["La", "La", "La", "La", "La", "La", "Ge", "Pb"], "fractional_positions": [[0.500, 0.500, 0.000], [0.500, 0.500, 0.500], [0.500, 0.000, 0.262], [0.500, 0.000, 0.738], [0.000, 0.500, 0.262], [0.000, 0.500, 0.738], [0.000, 0.000, 0.500], [0.000, 0.000, 0.000]], "total_energy_ev_per_cell": -41.01, "ef_ev_per_fu": -3.1, "magmom_total_mub_per_atom": 0.00, "spacegroup": "P4/mmm"}

=====

Entry 3:
{"formula": "RbBi", "functional": "PBE", "state": "relaxed", "lattice_angstrom": [[15.690, 0.000, 0.000], [0.000, 15.690, 0.000], [0.000, 0.000, 4.708]], "species": ["Rb", "Rb", "Rb", "Rb", "Rb", "Rb", "Rb", "Rb", "Bi", "Bi", "Bi", "Bi", "Bi", "Bi", "Bi", "Bi"], "fractional_positions": [[0.456, 0.751, 0.000], [0.544, 0.249, 0.000], [0.249, 0.456, 0.000], [0.751, 0.544, 0.000], [0.956, 0.251, 0.500], [0.044, 0.749, 0.500], [0.749, 0.956, 0.500], [0.251, 0.044, 0.500], [0.308, 0.225, 0.000], [0.692, 0.775, 0.000], [0.775, 0.308, 0.000], [0.225, 0.692, 0.000], [0.808, 0.725, 0.500], [0.192, 0.275, 0.500], [0.275, 0.808, 0.500], [0.725, 0.192, 0.500]], "total_energy_ev_per_cell": -41.32, "ef_ev_per_fu": -0.3, "magmom_total_mub_per_atom": 0.00, "spacegroup": "I4/m", "polymorph_energy_ev_per_atom": 0.196}

=====

Entry 4:
{"formula": "BTe3N", "functional": "PBE", "state": "relaxed", "lattice_angstrom": [[-3.960, 0.964, -2.408], [0.171, -4.289, -1.997], [-2.588, -1.758, 3.553]], "species": ["B", "Te", "Te", "Te", "N"], "fractional_positions": [[0.500, 0.500, 0.500], [0.000, 0.500, 0.000], [0.000, 0.000, 0.500], [0.500, 0.000, 0.000], [0.000, 0.000, 0.000]], "total_energy_ev_per_cell": -17.07, "magmom_total_mub_per_atom": 0.00, "spacegroup": "Pm-3m", "polymorph_energy_ev_per_atom": 0.000, "formation_energy_uncorrected_ev_per_atom": 1.471}

=====

Entry 5:
{"formula": "Dy3Fe", "functional": "PBE", "state": "relaxed", "lattice_angstrom": [[3.518, 0.000, 0.000], [0.000, 5.358, 0.000], [-1.759, -2.679, 5.283]], "species": ["Fe", "Dy", "Dy", "Dy"], "fractional_positions": [[0.000, 0.946, 0.000], [0.307, 0.715, 0.615], [0.500, 0.405, 0.000], [0.693, 0.100, 0.385]], "total_energy_ev_per_cell": -21.91, "ef_ev_per_fu": 0.4, "magmom_total_mub_per_atom": 0.00, "spacegroup": "Imm2"}

=====

Entry 6:
{"formula": "PmDy4Co", "functional": "PBE", "state": "relaxed", "lattice_angstrom": [[-5.292, -1.031, 3.103], [-0.308, -3.535, 0.353], [6.359, -1.796, 5.483]], "species": ["Pm", "Dy", "Dy", "Dy", "Dy", "Co"], "fractional_positions": [[0.000, 0.000, 0.000], [0.549, 0.124, 0.206], [0.131, 0.244, 0.381], [0.869, 0.756, 0.619], [0.451, 0.876, 0.794], [0.500, 0.500, 0.500]], "total_energy_ev_per_cell": -30.45, "ef_ev_per_fu": -0.2, "magmom_total_mub_per_atom": 0.00, "spacegroup": "P-1"}

=====

Entry 7:
{"formula": "CeAlGaCu3", "functional": "PBE", "state": "relaxed", "lattice_angstrom": [[-3.899, 4.321, 0.240], [-4.348, -3.800, -2.219], [0.744, 0.301, 6.649]], "species": ["Ce", "Ce", "Al", "Al", "Ga", "Ga", "Cu", "Cu", "Cu", "Cu", "Cu", "Cu"], "fractional_positions": [[0.750, 0.290, 0.581], [0.250, 0.710, 0.419], [0.250, 0.955, 0.910], [0.750, 0.045, 0.090], [0.250, 0.362, 0.725], [0.750, 0.638, 0.275], [0.250, 0.155, 0.309], [0.000, 0.299, 0.000], [0.500, 0.701, 0.000], [0.500, 0.299, 0.000], [0.000, 0.701, 0.000], [0.750, 0.845, 0.691]], "total_energy_ev_per_cell": -50.96, "ef_ev_per_fu": -0.5, "magmom_total_mub_per_atom": 0.15, "spacegroup": "Cmcm"}

=====

Entry 8:
{"formula": "NbHgGeF2", "functional": "PBE", "state": "relaxed", "lattice_angstrom": [[4.189, 0.000, 0.000], [0.000, 5.708, 0.000], [0.000, 0.000, 4.189]], "species": ["Nb", "Ge", "Hg", "F", "F"], "fractional_positions": [[0.500, 0.500, 0.500], [0.000, 0.000, 0.000], [0.000, 0.500, 0.000], [0.000, 0.000, 0.500], [0.500, 0.000, 0.000]], "total_energy_ev_per_cell": -20.48, "magmom_total_mub_per_atom": 0.62, "spacegroup": "P4/mmm", "formation_energy_uncorrected_ev_per_atom": -0.351}

=====

Which formula does entry 8 have? NbHgGeF2

=====

Repeat the second record exactly.
{"formula": "La6GePb", "functional": "PBE", "state": "relaxed", "lattice_angstrom": [[-2.227, -3.048, -3.268], [3.920, 0.421, -3.064], [4.281, -7.843, 4.398]], "species": ["La", "La", "La", "La", "La", "La", "Ge", "Pb"], "fractional_positions": [[0.500, 0.500, 0.000], [0.500, 0.500, 0.500], [0.500, 0.000, 0.262], [0.500, 0.000, 0.738], [0.000, 0.500, 0.262], [0.000, 0.500, 0.738], [0.000, 0.000, 0.500], [0.000, 0.000, 0.000]], "total_energy_ev_per_cell": -41.01, "ef_ev_per_fu": -3.1, "magmom_total_mub_per_atom": 0.00, "spacegroup": "P4/mmm"}

=====

Which formula does entry 8 have? NbHgGeF2